1.
The following is a DFT calculation (PBE) of a relaxed RbZrSeBr2 crystal.

Properties
volume = 40.1 A^3/atom
formation energy (no corrections) = 0.480 eV/atom
density = 3.4 g/cm3

abc: 5.8699 5.8699 5.8153
angles: 90.00 90.00 90.00
Site moments in Bohr magnetons follow the coordinates.
Fractional positions:
Rb 0.0000 0.0000 0.0000  -0.03
Se 0.0000 0.0000 0.5000  -0.39
Zr 0.5000 0.5000 0.5000  1.48
Br 0.5000 0.0000 0.0000  -0.05
Br 0.0000 0.5000 0.0000  -0.05

***

2.
The following is a DFT calculation (PBE) of a relaxed GaTe2OsPd crystal.

Properties
volume = 27.2 A^3/atom
formation energy (no corrections) = 0.708 eV/atom
density = 7.6 g/cm3

abc: 5.2067 5.0123 5.2067
angles: 90.00 90.00 90.00
Site moments in Bohr magnetons follow the coordinates.
Fractional positions:
Os 0.0000 0.0000 0.0000  0.55
Pd 0.0000 0.5000 0.0000  0.14
Ga 0.5000 0.5000 0.5000  0.01
Te 0.0000 0.0000 0.5000  0.06
Te 0.5000 0.0000 0.0000  0.07

***

3.
The following is a DFT calculation (PBE) of a relaxed RbPd2Pb2 crystal.

Properties
energy of formation from the pure elements = -0.12 eV/atom
volume = 25.2 A^3/atom
density = 9.4 g/cm3

abc: 8.6812 8.6812 3.3407
angles: 90.00 90.00 90.00
Fractional positions:
Pb 0.1442 0.6442 0.5000
Pb 0.6442 0.8558 0.5000
Pb 0.8558 0.3558 0.5000
Pb 0.3558 0.1442 0.5000
Pd 0.3662 0.8662 0.0000
Pd 0.1338 0.3662 0.0000
Pd 0.8662 0.6338 0.0000
Pd 0.6338 0.1338 0.0000
Rb 0.0000 0.0000 0.0000
Rb 0.5000 0.5000 0.0000

***

4.
The following is a DFT calculation (PBE) of a relaxed Ba2AlIr2 crystal.

Properties
energy of formation from the pure elements = 0.07 eV/atom
volume = 29.4 A^3/atom
density = 7.8 g/cm3

abc: 6.2875 6.2875 5.7936
angles: 57.14 57.14 90.00
Fractional positions:
Ir 0.3209 0.3209 0.3583
Ir 0.6791 0.6791 0.6417
Al 0.0000 0.0000 0.0000
Ba 0.2500 0.7500 0.5000
Ba 0.7500 0.2500 0.5000

***

5.
The following is a DFT calculation (PBE) of a relaxed HoGeSe crystal.

Properties
volume = 22.5 A^3/atom
formation energy (no corrections) = -1.183 eV/atom
density = 7.8 g/cm3

abc: 3.8611 3.8611 9.4590
angles: 101.78 101.78 90.00
Fractional positions:
Se 0.8106 0.8106 0.6213
Se 0.1894 0.1894 0.3787
Ho 0.3576 0.3576 0.7151
Ho 0.6424 0.6424 0.2849
Ge 0.0000 0.5000 0.0000
Ge 0.5000 0.0000 0.0000

***

6.
The following is a DFT calculation (PBE) of a relaxed Tb7PrSc2 crystal.

Properties
energy of formation from the pure elements = 0.64 eV/atom
volume = 37.5 A^3/atom
density = 5.9 g/cm3

abc: 5.6084 8.7628 8.7629
angles: 119.42 90.00 90.00
Fractional positions:
Tb 0.0000 0.2449 0.7551
Tb 0.5000 0.3039 0.0594
Tb 0.5000 0.0594 0.3039
Tb 0.5000 0.9406 0.6961
Tb 0.5000 0.6961 0.9406
Tb 0.0000 0.7551 0.2449
Tb 0.5000 0.5000 0.5000
Sc 0.5000 0.2966 0.7034
Sc 0.5000 0.7034 0.2966
Pr 0.0000 0.0000 0.0000

***

7.
The following is a DFT calculation (PBE) of a relaxed Ho2HfTl crystal.

Properties
energy of formation from the pure elements = -0.02 eV/atom
volume = 25.6 A^3/atom
density = 11.6 g/cm3

abc: 4.6611 4.6885 4.6885
angles: 90.00 90.00 90.00
Fractional positions:
Ho 0.0000 0.5000 0.0000
Ho 0.0000 0.0000 0.5000
Tl 0.5000 0.0000 0.0000
Hf 0.5000 0.5000 0.5000

***

8.
The following is a DFT calculation (PBE) of a relaxed SiAgBr2 crystal.

Properties
volume = 22.5 A^3/atom
formation energy (no corrections) = 0.326 eV/atom
density = 5.4 g/cm3

abc: 3.5648 3.5648 7.0935
angles: 90.00 90.00 90.00
Fractional positions:
Br 0.0000 0.0000 0.0037
Br 0.0000 0.0000 0.4963
Si 0.5000 0.5000 0.2500
Ag 0.5000 0.5000 0.7500

***

9.
The following is a DFT calculation (PBE) of a relaxed NaHgAs crystal.

Properties
energy of formation from the pure elements = -0.22 eV/atom
volume = 25.0 A^3/atom
density = 6.6 g/cm3

abc: 4.6127 5.8885 6.8975
angles: 62.59 70.47 66.94
Fractional positions:
As 0.1141 0.9445 0.8273
As 0.8859 0.0555 0.1727
Na 0.1702 0.4175 0.2420
Na 0.8298 0.5825 0.7580
Hg 0.4315 0.7772 0.3599
Hg 0.5685 0.2228 0.6401

***

10.
The following is a DFT calculation (PBE) of a relaxed Rb5Au2Br2 crystal.

Properties
volume = 41.7 A^3/atom
formation energy (no corrections) = -0.884 eV/atom
density = 4.3 g/cm3

abc: 9.1408 9.1844 10.0332
angles: 90.00 62.90 90.00
Fractional positions:
Rb 0.0339 0.6679 0.2741
Rb 0.0000 0.0000 0.0000
Rb 0.9661 0.3321 0.7259
Rb 0.8080 0.8321 0.7259
Rb 0.1920 0.1679 0.2741
Rb 0.4661 0.1679 0.7259
Rb 0.5000 0.5000 0.0000
Rb 0.6920 0.3321 0.2741
Rb 0.5339 0.8321 0.2741
Rb 0.3080 0.6679 0.7259
Au 0.8873 0.6135 0.0000
Au 0.1127 0.3865 0.0000
Au 0.3873 0.8865 0.0000
Au 0.6127 0.1135 0.0000
Br 0.2009 0.0000 0.5982
Br 0.7991 0.0000 0.4018
Br 0.2991 0.5000 0.4018
Br 0.7009 0.5000 0.5982

***

11.
The following is a DFT calculation (PBE) of a relaxed AlCrRh6 crystal.

Properties
energy of formation from the pure elements = -0.32 eV/atom
volume = 13.8 A^3/atom
density = 10.5 g/cm3

abc: 3.7922 5.3902 5.3902
angles: 90.02 90.00 90.00
Fractional positions:
Rh 0.5000 0.0000 0.5000
Rh 0.5000 0.5000 0.0000
Rh 0.0000 0.2455 0.2455
Rh 0.0000 0.7545 0.2455
Rh 0.0000 0.7545 0.7545
Rh 0.0000 0.2455 0.7545
Cr 0.5000 0.0000 0.0000
Al 0.5000 0.5000 0.5000

***

12.
The following is a DFT calculation (PBE) of a relaxed MgTc2P crystal.

Properties
energy of formation from the pure elements = -0.14 eV/atom
volume = 14.8 A^3/atom
density = 7.0 g/cm3

abc: 2.9821 2.9821 6.6720
angles: 90.00 90.00 90.00
Fractional positions:
Tc 0.0000 0.0000 0.9450
Tc 0.0000 0.0000 0.5550
Mg 0.5000 0.5000 0.2500
P 0.5000 0.5000 0.7500

***

no.,DFT total energy (eV/atom)
1,-2.79
2,-4.44
3,-3.87
4,-4.99
5,-5.41
6,-4.34
7,-5.39
8,-2.58
9,-2.31
10,-2.52
11,-7.50
12,-7.07